(1)
Compound: Ta2CuRe
Source: the Alexandria database
Functional: GGA-PBE
Structure: optimized geometry

Cell lengths 5.244, 5.244, 4.445 Å; angles 114.72, 114.72, 36.11 degrees
Sites, in units of the cell vectors:
Ta 0.000 0.000 0.000
Ta 0.239 0.239 0.738
Cu 0.759 0.759 0.258
Re 0.504 0.504 0.503

Properties
* theoretical density: 15.70 Mg/m³
* SG: No. 8
* ΔE to the lowest computed polymorph: 153 meV/atom
* E_form: 1.3 kcal/mol of atoms
* VASP energy: -10.00 eV per atom



(2)
Compound: Ta2CuRe
Source: the Alexandria database
Functional: GGA-PBE
Structure: optimized geometry

Cell lengths 4.477, 4.477, 4.477 Å; angles 60.00, 60.00, 60.00 degrees
Sites, in units of the cell vectors:
Ta 0.000 0.000 0.000
Ta 0.250 0.250 0.250
Cu 0.500 0.500 0.500
Re 0.750 0.750 0.750

Properties
* theoretical density: 16.01 Mg/m³
* SG: No. 216
* ΔE to the lowest computed polymorph: 263 meV/atom
* E_form: 3.9 kcal/mol of atoms
* VASP energy: -9.89 eV per atom



(3)
Compound: Ta2CuRe
Source: the Alexandria database
Functional: GGA-PBE
Structure: optimized geometry

Cell lengths 5.724, 5.724, 5.724 Å; angles 103.13, 103.13, 123.06 degrees
Sites, in units of the cell vectors:
Ta 0.122 0.625 0.997
Ta 0.375 0.372 0.497
Ta 0.628 0.125 0.003
Ta 0.875 0.878 0.503
Cu 0.250 0.750 0.500
Cu 0.500 0.500 0.000
Re 0.000 0.000 0.000
Re 0.750 0.250 0.500

Properties
* theoretical density: 14.70 Mg/m³
* SG: No. 122
* ΔE to the lowest computed polymorph: 718 meV/atom
* E_form: 14.4 kcal/mol of atoms
* VASP energy: -9.44 eV per atom



(4)
Compound: Ta2CuRe
Source: the Alexandria database
Functional: GGA-PBE
Structure: optimized geometry

Cell lengths 9.766, 9.766, 9.766 Å; angles 16.43, 16.43, 16.43 degrees
Sites, in units of the cell vectors:
Ta 0.000 0.000 0.000
Ta 0.241 0.241 0.241
Cu 0.747 0.747 0.747
Re 0.489 0.489 0.489

Properties
* theoretical density: 15.64 Mg/m³
* SG: No. 160
* ΔE to the lowest computed polymorph: 389 meV/atom
* E_form: 6.8 kcal/mol of atoms
* VASP energy: -9.77 eV per atom